Na4Tl4Hg | PBE-GGA | optimized geometry

a = 4.399 Å, b = 7.892 Å, c = 7.892 Å
α = 85.54°, β = 73.82°, γ = 73.82°
Fractional coordinates of all 9 atoms:
1 Na 0.161 0.500 0.678
2 Na 0.839 0.500 0.322
3 Na 0.161 0.178 0.000
4 Na 0.839 0.822 0.000
5 Tl 0.499 0.837 0.664
6 Tl 0.501 0.163 0.336
7 Tl 0.164 0.836 0.337
8 Tl 0.836 0.164 0.663
9 Hg 0.500 0.500 0.000

Properties
**VASP energy**: -16.269 eV for the cell shown
**Spin magnetization**: 0.0 μB/f.u.
**Calculated density**: 7.294 g cm⁻³

---

Na2Tl2Hg | PBE-GGA | optimized geometry

a = 8.293 Å, b = 8.293 Å, c = 4.240 Å
α = 90.00°, β = 90.00°, γ = 90.00°
Fractional coordinates of all 10 atoms:
1 Na 0.665 0.835 0.500
2 Na 0.835 0.335 0.500
3 Na 0.335 0.165 0.500
4 Na 0.165 0.665 0.500
5 Tl 0.637 0.137 0.000
6 Tl 0.137 0.363 0.000
7 Tl 0.863 0.637 0.000
8 Tl 0.363 0.863 0.000
9 Hg 0.500 0.500 0.000
10 Hg 0.000 0.000 0.000

Properties
**VASP energy**: -16.156 eV for the cell shown
**ΔE to the lowest computed polymorph**: 81 meV/atom
**Spin magnetization**: 0.0 μB/f.u.
**Calculated density**: 7.465 g cm⁻³

---

NaTl6Hg12 | PBE-GGA | optimized geometry

a = 8.195 Å, b = 8.195 Å, c = 8.195 Å
α = 94.20°, β = 94.20°, γ = 94.20°
Fractional coordinates of all 19 atoms:
1 Hg 0.533 0.205 0.456
2 Hg 0.364 0.039 0.138
3 Hg 0.961 0.862 0.636
4 Hg 0.544 0.467 0.795
5 Hg 0.636 0.961 0.862
6 Hg 0.467 0.795 0.544
7 Hg 0.862 0.636 0.961
8 Hg 0.205 0.456 0.533
9 Hg 0.138 0.364 0.039
10 Hg 0.456 0.533 0.205
11 Hg 0.039 0.138 0.364
12 Hg 0.795 0.544 0.467
13 Tl 0.737 0.292 0.134
14 Tl 0.866 0.263 0.708
15 Tl 0.708 0.866 0.263
16 Tl 0.134 0.737 0.292
17 Tl 0.263 0.708 0.866
18 Tl 0.292 0.134 0.737
19 Na 0.000 0.000 0.000

Properties
**VASP energy**: -19.468 eV for the cell shown
**ΔE to the lowest computed polymorph**: 11 meV/atom
**Spin magnetization**: 0.0 μB/f.u.
**Calculated density**: 11.125 g cm⁻³

---

Q: Look up the spin magnetization of the second one.
A: 0.0 μB/f.u.

---

Q: Number 3 is which compound?
A: NaTl6Hg12